No. 1
A relaxed PuSc2Ga9 crystal, computed with PBE.

Structure (POSCAR):
```
PuSc2Ga9
1.0
4.1717 0.0000 0.0000
0.0000 4.1717 0.0000
0.0000 0.0000 12.5144
Pu Sc Ga
1 2 9
Cartesian
0.0000 0.0000 0.0000
0.0000 0.0000 4.2367
0.0000 0.0000 8.2777
2.0858 2.0858 0.0000
2.0858 2.0858 4.1815
2.0858 2.0858 8.3329
2.0858 0.0000 2.1600
2.0858 0.0000 6.2572
2.0858 0.0000 10.3544
0.0000 2.0858 2.1600
0.0000 2.0858 6.2572
0.0000 2.0858 10.3544
```

## Properties
As for the formation energy: -10.6 kcal/mol of atoms. The volume is 18.15 A^3/atom. The theoretical density is 7.33 g/cm3. The calculation puts the density of states at the Fermi level at 12.37 states/eV/f.u. As for the symmetry: P4/mmm (123).

=====

No. 2
A relaxed PuSc2Ga crystal, computed with PBE.

Structure (POSCAR):
```
PuSc2Ga
1.0
5.0241 0.0000 0.0000
2.5120 4.3510 0.0000
2.5120 1.4503 4.1013
Pu Sc Ga
1 2 1
Cartesian
5.0241 2.9006 2.0508
7.5361 4.3510 0.0002
2.5120 1.4503 1.0249
7.5361 4.3510 3.0760
```

## Properties
As for the formation energy: -2.3 kcal/mol of atoms. The volume is 22.41 A^3/atom. The theoretical density is 7.48 g/cm3. The distance to the lowest polymorph of the same formula is 0.154 eV/atom. The calculation puts the density of states at the Fermi level at 7.61 states/eV/f.u. As for the symmetry: F-43m (216).

=====

No. 3
A relaxed Pu3ScGa12 crystal, computed with PBE.

Structure (POSCAR):
```
Pu3ScGa12
1.0
4.2436 0.0000 0.0000
0.0000 4.2436 0.0000
0.0000 0.0000 16.9440
Pu Sc Ga
3 1 12
Cartesian
0.0000 0.0000 4.1484
0.0000 0.0000 8.4720
0.0000 0.0000 12.7956
0.0000 0.0000 0.0000
2.1218 2.1218 0.0000
2.1218 2.1218 4.2117
2.1218 2.1218 8.4720
2.1218 2.1218 12.7323
2.1218 0.0000 2.0269
2.1218 0.0000 6.3171
2.1218 0.0000 10.6269
2.1218 0.0000 14.9171
0.0000 2.1218 2.0269
0.0000 2.1218 6.3171
0.0000 2.1218 10.6269
0.0000 2.1218 14.9171
```

## Properties
As for the formation energy: -9.1 kcal/mol of atoms. The volume is 19.07 A^3/atom. The theoretical density is 8.78 g/cm3. The calculation puts the density of states at the Fermi level at 31.78 states/eV/f.u. As for the symmetry: P4/mmm (123).